1.
VASP calculation (PBE-GGA) on crystalline YBeTc2 at its relaxed geometry.

The structure in extended XYZ format:
```
8
Lattice="7.221 0.000 0.000 0.000 4.166 0.000 -2.398 0.000 4.983" Properties=species:S:1:pos:R:3 pbc="T T T"
Y 0.000 0.000 0.000
Y 3.610 2.083 0.000
Be 1.208 2.083 2.083
Be 4.819 0.000 2.083
Tc 6.023 2.083 2.486
Tc 0.007 0.000 2.925
Tc 2.413 0.000 2.486
Tc 3.617 2.083 2.925
```

Properties
Fermi-level density of states (states/eV per atom): 0.58
Formation energy from the elements (meV/atom): -79



2.
VASP calculation (PBE-GGA) on crystalline YBeTc2 at its relaxed geometry.

The structure in extended XYZ format:
```
4
Lattice="3.842 0.000 0.000 0.000 3.842 0.000 0.000 0.000 4.392" Properties=species:S:1:pos:R:3 pbc="T T T"
Y 0.000 0.000 0.000
Be 1.921 1.921 0.000
Tc 0.000 1.921 2.196
Tc 1.921 0.000 2.196
```

Properties
Fermi-level density of states (states/eV per atom): 0.83
Formation energy from the elements (meV/atom): 302



3.
VASP calculation (PBE-GGA) on crystalline Y2BeTc at its relaxed geometry.

The structure in extended XYZ format:
```
8
Lattice="11.074 0.000 0.000 0.000 3.559 0.000 -1.869 0.000 4.156" Properties=species:S:1:pos:R:3 pbc="T T T"
Y 0.000 0.000 0.000
Y 1.062 0.000 2.976
Y 5.537 1.779 0.000
Y 6.599 1.779 2.976
Be 4.101 0.000 1.854
Be 9.638 1.779 1.854
Tc 2.781 1.779 1.251
Tc 8.318 0.000 1.251
```

Properties
Fermi-level density of states (states/eV per atom): 1.09
Formation energy from the elements (meV/atom): 55



4.
VASP calculation (PBE-GGA) on crystalline YBeTc2 at its relaxed geometry.

The structure in extended XYZ format:
```
16
Lattice="4.128 0.000 0.000 0.000 4.128 0.000 0.000 0.000 17.588" Properties=species:S:1:pos:R:3 pbc="T T T"
Y 0.000 0.000 0.000
Y 0.000 2.064 4.397
Y 2.064 0.000 13.191
Y 2.064 2.064 8.794
Be 0.000 0.000 8.794
Be 0.000 2.064 13.191
Be 2.064 0.000 4.397
Be 2.064 2.064 0.000
Tc 0.574 3.096 10.993
Tc 1.032 0.574 6.596
Tc 1.032 1.490 15.390
Tc 1.490 3.096 2.199
Tc 2.638 1.032 2.199
Tc 3.096 2.638 15.390
Tc 3.096 3.554 6.596
Tc 3.554 1.032 10.993
```

Properties
Fermi-level density of states (states/eV per atom): 0.79
Formation energy from the elements (meV/atom): 418



5.
VASP calculation (PBE-GGA) on crystalline Be17ZnTc at its relaxed geometry.

The structure in extended XYZ format:
```
19
Lattice="3.620 2.090 3.628 -3.620 2.090 3.628 0.000 -4.180 3.628" Properties=species:S:1:pos:R:3 pbc="T T T"
Be -1.785 -1.031 3.628
Be 0.000 0.000 0.654
Be -1.121 -2.252 5.359
Be -2.511 0.156 5.359
Be 0.000 -2.041 3.603
Be -1.768 1.021 3.603
Be 0.000 0.000 2.830
Be -1.767 -1.020 7.066
Be 1.121 -2.252 5.359
Be -1.390 2.096 5.359
Be 1.785 -1.031 3.628
Be 0.000 2.061 3.628
Be 1.768 1.021 3.603
Be 1.767 -1.020 7.066
Be 0.000 2.041 7.066
Be 2.511 0.156 5.359
Be 1.390 2.096 5.359
Zn 0.000 0.000 8.427
Tc 0.000 0.000 5.293
```

Properties
Fermi-level density of states (states/eV per atom): 0.18
Formation energy from the elements (meV/atom): -63



6.
VASP calculation (PBE-GGA) on crystalline Be2ZnTc2 at its relaxed geometry.

The structure in extended XYZ format:
```
10
Lattice="4.227 0.000 0.000 0.000 4.227 0.000 0.000 0.000 7.502" Properties=species:S:1:pos:R:3 pbc="T T T"
Be 0.000 2.114 1.875
Be 0.000 2.114 5.626
Be 2.114 0.000 1.875
Be 2.114 0.000 5.626
Zn 0.000 0.000 0.000
Zn 2.114 2.114 3.751
Tc 0.000 0.000 2.584
Tc 0.000 0.000 4.917
Tc 2.114 2.114 1.166
Tc 2.114 2.114 6.335
```

Properties
Fermi-level density of states (states/eV per atom): 0.02
Formation energy from the elements (meV/atom): 320
Excess energy over the best structure of this formula in the dataset (meV per atom): 476



7.
VASP calculation (PBE-GGA) on crystalline Be2ZnTc at its relaxed geometry.

The structure in extended XYZ format:
```
16
Lattice="5.702 0.000 0.000 0.000 5.702 0.000 0.000 0.000 5.702" Properties=species:S:1:pos:R:3 pbc="T T T"
Be 0.000 0.000 0.000
Be 0.000 2.851 2.851
Be 1.425 1.425 1.425
Be 1.425 4.276 4.276
Be 2.851 0.000 2.851
Be 2.851 2.851 0.000
Be 4.276 1.425 4.276
Be 4.276 4.276 1.425
Zn 0.000 0.000 2.851
Zn 0.000 2.851 0.000
Zn 2.851 0.000 0.000
Zn 2.851 2.851 2.851
Tc 1.425 1.425 4.276
Tc 1.425 4.276 1.425
Tc 4.276 1.425 1.425
Tc 4.276 4.276 4.276
```

Properties
Fermi-level density of states (states/eV per atom): 0.50
Formation energy from the elements (meV/atom): 208



8.
VASP calculation (PBE-GGA) on crystalline Be2ZnTc at its relaxed geometry.

The structure in extended XYZ format:
```
4
Lattice="3.718 0.000 0.000 0.000 3.718 0.000 0.000 0.000 3.203" Properties=species:S:1:pos:R:3 pbc="T T T"
Be 0.000 1.859 0.000
Be 1.859 0.000 0.000
Zn 0.000 0.000 1.602
Tc 1.859 1.859 1.602
```

Properties
Fermi-level density of states (states/eV per atom): 0.59
Formation energy from the elements (meV/atom): -147



For reference, final energy by record: -7.810 -7.429 -6.700 -7.313 -4.010 -5.572 -4.565 -4.920 eV per atom.